A plane-wave DFT calculation with PBE was carried out for a relaxed ScGeSeS crystal.

Theoretical density: 4.114 g/cm3
Calculated volume: 23.1 Å³ per atom
Symmetry: Cm
N(E_F): 1.24 states/eV/f.u.
Polymorph energy (0 for the lowest one): 0.0002 eV per atom
Crystal system: monoclinic
Energy relative to the elements, uncorrected: -0.96 eV per atom

Cell: 3.429 3.721 14.462 Å, 90.00 90.19 90.00°
Positions (direct):
Ge1 0.052 0.500 0.522
Ge2 0.052 0.000 0.022
Sc1 0.554 0.000 0.768
Sc2 0.554 0.500 0.268
S1 0.052 0.000 0.635
S2 0.052 0.500 0.135
Se1 0.055 0.000 0.340
Se2 0.055 0.500 0.840



A plane-wave DFT calculation with PBE was carried out for a relaxed Sr6RhN crystal.

Theoretical density: 3.498 g/cm3
Calculated volume: 38.1 Å³ per atom
Symmetry: C2/m
N(E_F): 6.38 states/eV/f.u.
Crystal system: monoclinic
Energy relative to the elements, uncorrected: -0.25 eV per atom

Cell: 7.090 7.167 7.253 Å, 60.39 81.30 72.18°
Positions (direct):
Sr1 0.737 0.134 0.290
Sr2 0.724 0.743 0.000
Sr3 0.263 0.866 0.710
Sr4 0.263 0.576 0.290
Sr5 0.737 0.424 0.710
Sr6 0.276 0.257 0.000
N1 0.500 0.500 0.000
Rh1 0.000 0.000 0.000



A plane-wave DFT calculation with PBE was carried out for a relaxed LiYSnI6 crystal.

Theoretical density: 4.545 g/cm3
Calculated volume: 39.6 Å³ per atom
Symmetry: P-31c
N(E_F): 0.00 states/eV/f.u.
Crystal system: trigonal
Energy relative to the elements, uncorrected: -1.02 eV per atom

Cell: 7.649 7.649 14.075 Å, 90.00 90.00 120.00°
Positions (direct):
I1 0.351 0.004 0.628
I2 0.649 0.996 0.372
I3 0.996 0.649 0.872
I4 0.351 0.347 0.872
I5 0.653 0.649 0.628
I6 0.347 0.996 0.128
I7 0.649 0.653 0.128
I8 0.996 0.347 0.628
I9 0.347 0.351 0.372
I10 0.004 0.351 0.128
I11 0.004 0.653 0.372
I12 0.653 0.004 0.872
Y1 0.667 0.333 0.250
Y2 0.333 0.667 0.750
Li1 0.667 0.333 0.750
Li2 0.333 0.667 0.250
Sn1 0.000 0.000 0.000
Sn2 0.000 0.000 0.500



A plane-wave DFT calculation with PBE was carried out for a relaxed PrSmZn crystal.

Theoretical density: 6.347 g/cm3
Calculated volume: 31.1 Å³ per atom
Symmetry: F-43m
N(E_F): 5.79 states/eV/f.u.
Polymorph energy (0 for the lowest one): 0.2306 eV per atom
Crystal system: cubic
E_form: 35 meV per atom

Cell: 5.091 5.091 5.091 Å, 60.00 60.00 60.00°
Positions (direct):
Sm1 0.000 0.000 0.000
Zn1 0.250 0.250 0.250
Pr1 0.500 0.500 0.500



A plane-wave DFT calculation with PBE was carried out for a relaxed SmRuC crystal.

Theoretical density: 8.475 g/cm3
Calculated volume: 17.2 Å³ per atom
Symmetry: C2/m
N(E_F): 2.09 states/eV/f.u.
Polymorph energy (0 for the lowest one): 0.0573 eV per atom
Crystal system: monoclinic
E_form: -119 meV per atom

Cell: 3.383 5.849 5.746 Å, 107.35 107.12 90.00°
Positions (direct):
C1 0.261 0.233 0.523
C2 0.739 0.767 0.477
Ru1 0.165 0.862 0.331
Ru2 0.835 0.138 0.669
Sm1 0.394 0.675 0.788
Sm2 0.606 0.325 0.212



A plane-wave DFT calculation with PBE was carried out for a relaxed Sc2PbBr crystal.

Theoretical density: 6.591 g/cm3
Calculated volume: 23.7 Å³ per atom
Symmetry: C2/m
N(E_F): 4.34 states/eV/f.u.
Polymorph energy (0 for the lowest one): 0.1304 eV per atom
Crystal system: monoclinic
Energy relative to the elements, uncorrected: -0.48 eV per atom

Cell: 7.795 5.354 3.347 Å, 84.37 72.87 129.49°
Positions (direct):
Pb1 0.500 0.500 0.000
Sc1 0.000 0.000 0.000
Sc2 0.500 0.000 0.500
Br1 0.000 0.500 0.500



A plane-wave DFT calculation with PBE was carried out for a relaxed SbMo crystal.

Theoretical density: 9.447 g/cm3
Calculated volume: 19.1 Å³ per atom
Symmetry: P6_3/mmc
N(E_F): 2.18 states/eV/f.u.
Crystal system: hexagonal
Energy relative to the elements, uncorrected: 0.39 eV per atom

Cell: 3.263 3.263 8.300 Å, 90.00 90.00 120.00°
Positions (direct):
Mo1 0.333 0.667 0.250
Mo2 0.667 0.333 0.750
Sb1 0.000 0.000 0.500
Sb2 0.000 0.000 0.000



A plane-wave DFT calculation with PBE was carried out for a relaxed ZrSnHgO2 crystal.

Theoretical density: 7.355 g/cm3
Calculated volume: 20.0 Å³ per atom
Symmetry: P4/mmm
N(E_F): 3.54 states/eV/f.u.
Crystal system: tetragonal
Energy relative to the elements, uncorrected: 0.34 eV per atom

Cell: 4.269 5.482 4.269 Å, 90.00 90.00 90.00°
Positions (direct):
Zr1 0.500 0.500 0.500
Hg1 0.000 0.000 0.000
O1 0.500 0.000 0.000
O2 0.000 0.000 0.500
Sn1 0.000 0.500 0.000



A plane-wave DFT calculation with PBE was carried out for a relaxed LaNbNi2 crystal.

Theoretical density: 7.943 g/cm3
Calculated volume: 18.2 Å³ per atom
Symmetry: Fm-3m
N(E_F): 6.02 states/eV/f.u.
Polymorph energy (0 for the lowest one): 0.3022 eV per atom
Crystal system: cubic
E_form: 177 meV per atom

Cell: 4.691 4.691 4.691 Å, 60.00 60.00 60.00°
Positions (direct):
La1 0.500 0.500 0.500
Ni1 0.250 0.250 0.250
Ni2 0.750 0.750 0.750
Nb1 0.000 0.000 0.000



A plane-wave DFT calculation with PBE was carried out for a relaxed IrIO2 crystal.

Theoretical density: 7.010 g/cm3
Calculated volume: 20.8 Å³ per atom
Symmetry: I-42d
N(E_F): 13.74 states/eV/f.u.
Polymorph energy (0 for the lowest one): 0.4128 eV per atom
Crystal system: tetragonal
Energy relative to the elements, uncorrected: 0.13 eV per atom

Cell: 6.172 6.172 6.174 Å, 60.01 60.01 90.00°
Positions (direct):
O1 0.375 0.133 0.750
O2 0.883 0.625 0.250
O3 0.867 0.125 0.250
O4 0.875 0.117 0.750
I1 0.500 0.500 0.000
I2 0.250 0.750 0.500
Ir1 0.750 0.250 0.500
Ir2 0.000 0.000 0.000



A plane-wave DFT calculation with PBE was carried out for a relaxed CsIn3Cu crystal.

Theoretical density: 5.721 g/cm3
Calculated volume: 31.4 Å³ per atom
Symmetry: Pm-3m
N(E_F): 4.50 states/eV/f.u.
Polymorph energy (0 for the lowest one): 0.0304 eV per atom
Crystal system: cubic
E_form: 120 meV per atom

Cell: 5.395 5.395 5.395 Å, 90.00 90.00 90.00°
Positions (direct):
Cs1 0.500 0.500 0.500
In1 0.000 0.000 0.500
In2 0.000 0.500 0.000
In3 0.500 0.000 0.000
Cu1 0.000 0.000 0.000



A plane-wave DFT calculation with PBE was carried out for a relaxed Tl3SiSn crystal.

Theoretical density: 8.097 g/cm3
Calculated volume: 31.2 Å³ per atom
Symmetry: Pm-3m
N(E_F): 6.54 states/eV/f.u.
Polymorph energy (0 for the lowest one): 0.0000 eV per atom
Crystal system: cubic
Energy relative to the elements, uncorrected: 0.46 eV per atom

Cell: 5.382 5.382 5.382 Å, 90.00 90.00 90.00°
Positions (direct):
Si1 0.000 0.000 0.000
Tl1 0.000 0.500 0.000
Tl2 0.000 0.000 0.500
Tl3 0.500 0.000 0.000
Sn1 0.500 0.500 0.500



A plane-wave DFT calculation with PBE was carried out for a relaxed TmHfRu2 crystal.

Theoretical density: 12.742 g/cm3
Calculated volume: 17.9 Å³ per atom
Symmetry: P4/mmm
N(E_F): 2.63 states/eV/f.u.
Crystal system: tetragonal
E_form: -656 meV per atom

Cell: 3.283 3.283 6.644 Å, 90.00 90.00 90.00°
Positions (direct):
Ru1 0.000 0.000 0.766
Ru2 0.000 0.000 0.234
Hf1 0.500 0.500 0.000
Tm1 0.500 0.500 0.500



A plane-wave DFT calculation with PBE was carried out for a relaxed Cs2SrTc crystal.

Theoretical density: 3.802 g/cm3
Calculated volume: 49.3 Å³ per atom
Symmetry: Fm-3m
N(E_F): 4.72 states/eV/f.u.
Crystal system: cubic
E_form: 1323 meV per atom

Cell: 6.533 6.533 6.533 Å, 60.00 60.00 60.00°
Positions (direct):
Cs1 0.250 0.250 0.250
Cs2 0.750 0.750 0.750
Sr1 0.000 0.000 0.000
Tc1 0.500 0.500 0.500



A plane-wave DFT calculation with PBE was carried out for a relaxed TaSbAu crystal.

Theoretical density: 12.365 g/cm3
Calculated volume: 22.4 Å³ per atom
Symmetry: I4mm
N(E_F): 1.95 states/eV/f.u.
Polymorph energy (0 for the lowest one): 0.0085 eV per atom
Crystal system: tetragonal
Energy relative to the elements, uncorrected: 0.16 eV per atom

Cell: 7.576 7.576 7.576 Å, 156.86 156.86 32.96°
Positions (direct):
Sb1 0.308 0.308 0.000
Au1 0.032 0.032 0.000
Ta1 0.659 0.659 0.000



A plane-wave DFT calculation with PBE was carried out for a relaxed Rb3FeBr crystal.

Theoretical density: 2.233 g/cm3
Calculated volume: 58.3 Å³ per atom
Symmetry: Pm-3m
N(E_F): 9.42 states/eV/f.u.
Crystal system: cubic
Energy relative to the elements, uncorrected: 0.11 eV per atom

Cell: 6.631 6.631 6.631 Å, 90.00 90.00 90.00°
Positions (direct):
Rb1 0.000 0.000 0.500
Rb2 0.000 0.500 0.000
Rb3 0.500 0.000 0.000
Fe1 0.500 0.500 0.500
Br1 0.000 0.000 0.000



A plane-wave DFT calculation with PBE was carried out for a relaxed BaWBr2 crystal.

Theoretical density: 5.856 g/cm3
Calculated volume: 34.1 Å³ per atom
Symmetry: I-42d
N(E_F): 2.02 states/eV/f.u.
Polymorph energy (0 for the lowest one): 0.2146 eV per atom
Crystal system: tetragonal
Energy relative to the elements, uncorrected: 0.26 eV per atom

Cell: 5.504 5.504 9.807 Å, 73.70 73.70 90.00°
Positions (direct):
Br1 0.705 0.125 0.250
Br2 0.045 0.625 0.250
Br3 0.375 0.295 0.750
Br4 0.875 0.955 0.750
Ba1 0.500 0.500 0.000
Ba2 0.250 0.750 0.500
W1 0.000 0.000 0.000
W2 0.750 0.250 0.500



A plane-wave DFT calculation with PBE was carried out for a relaxed Dy3Ho6ErTh2 crystal.

Theoretical density: 9.328 g/cm3
Calculated volume: 31.3 Å³ per atom
Symmetry: C2/m
N(E_F): 16.18 states/eV/f.u.
Crystal system: monoclinic
E_form: 22 meV per atom

Cell: 6.130 6.130 11.710 Å, 95.02 95.02 119.96°
Positions (direct):
Ho1 0.419 0.083 0.248
Ho2 0.746 0.746 0.248
Ho3 0.254 0.254 0.752
Ho4 0.917 0.581 0.752
Ho5 0.083 0.419 0.248
Ho6 0.581 0.917 0.752
Er1 0.000 0.000 0.000
Dy1 0.166 0.834 0.500
Dy2 0.500 0.500 0.500
Dy3 0.834 0.166 0.500
Th1 0.333 0.667 0.000
Th2 0.667 0.333 0.000



A plane-wave DFT calculation with PBE was carried out for a relaxed YSi2Bi crystal.

Theoretical density: 6.295 g/cm3
Calculated volume: 23.3 Å³ per atom
Symmetry: Fm-3m
N(E_F): 2.70 states/eV/f.u.
Polymorph energy (0 for the lowest one): 0.0147 eV per atom
Crystal system: cubic
Energy relative to the elements, uncorrected: 0.13 eV per atom

Cell: 5.093 5.093 5.093 Å, 60.00 60.00 60.00°
Positions (direct):
Si1 0.750 0.750 0.750
Si2 0.250 0.250 0.250
Bi1 0.500 0.500 0.500
Y1 0.000 0.000 0.000



A plane-wave DFT calculation with PBE was carried out for a relaxed GeTeAu crystal.

Theoretical density: 9.370 g/cm3
Calculated volume: 23.5 Å³ per atom
Symmetry: I4mm
N(E_F): 0.86 states/eV/f.u.
Crystal system: tetragonal
Energy relative to the elements, uncorrected: 0.20 eV per atom

Cell: 3.180 3.180 7.313 Å, 102.56 102.56 90.00°
Positions (direct):
Ge1 0.312 0.312 0.624
Te1 0.611 0.611 0.222
Au1 0.927 0.927 0.854